Entry 1:
Material: Ca2Tl2Cd3
Method: DFT, PBE-GGA
State: optimized geometry

```
Ca2Tl2Cd3
1.0
5.679 -2.429 0.000
5.679 2.429 0.000
-2.853 0.000 6.987
Ca Tl Cd
2 2 3
Cartesian
0.882 0.000 1.823
7.623 0.000 5.164
-0.251 0.000 4.997
8.756 0.000 1.991
4.360 0.000 0.547
4.253 0.000 3.494
4.145 0.000 6.440
```

Summary:
As for the space group: C2/m.

Entry 2:
Material: AlGaRe2Tc
Method: DFT, PBE-GGA
State: optimized geometry

```
AlGaRe2Tc
1.0
4.704 0.000 0.000
0.000 4.704 0.000
0.000 0.000 4.661
Al Ga Re Tc
1 1 2 1
Cartesian
0.000 0.000 0.000
2.352 2.352 0.000
0.000 2.352 2.330
2.352 0.000 2.330
2.352 2.352 2.330
```

Summary:
As for the space group: P4/mmm.

Entry 3:
Material: EuErRuAu
Method: DFT, PBE-GGA
State: optimized geometry

```
EuErRuAu
1.0
0.000 3.528 3.528
3.528 0.000 3.528
3.528 3.528 0.000
Eu Er Ru Au
1 1 1 1
Cartesian
0.000 0.000 0.000
3.528 3.528 3.528
5.292 5.292 5.292
1.764 1.764 1.764
```

Summary:
As for the space group: F-43m.

Entry 4:
Material: Ca3Tl2Cd4
Method: DFT, PBE-GGA
State: optimized geometry

```
Ca3Tl2Cd4
1.0
5.703 -2.521 0.000
5.703 2.521 0.000
-4.344 0.000 8.438
Ca Tl Cd
3 2 4
Cartesian
0.000 0.000 0.000
2.374 0.000 2.802
4.687 0.000 5.636
1.281 0.000 6.113
5.780 0.000 2.326
-1.042 0.000 3.344
-0.942 0.000 8.045
8.003 0.000 0.394
8.104 0.000 5.094
```

Summary:
As for the space group: C2/m.

no.,formation enthalpy at 0 K (eV/atom),uncorrected energy (eV per atom)
1,-0.252,-1.892
2,1.540,-6.866
3,-0.367,-7.215
4,-0.333,-1.932